{
  "formula": "CoSbS2",
  "functional": "GGA-PBEsol",
  "state": "relaxed",
  "cell": [[1.6670, 0.9624, 7.6127], [-1.6670, 0.9624, 7.6127], [0.0000, -1.9249, 7.6127]],
  "species": ["Co", "Sb", "S", "S"],
  "fractional_positions": [[0.0000, 0.0000, 0.0000], [0.5000, 0.5000, 0.5000], [0.3816, 0.3816, 0.3816], [0.6184, 0.6184, 0.6184]]
}



{
  "formula": "CoSbS",
  "functional": "GGA-PBEsol",
  "state": "relaxed",
  "cell": [[3.5790, 0.0000, 0.0000], [0.0000, 4.7860, 0.0000], [0.0000, 0.0000, 5.7515]],
  "species": ["Co", "Co", "Sb", "Sb", "S", "S"],
  "fractional_positions": [[0.0000, 0.2138, 0.0000], [0.5000, 0.7862, 0.5000], [0.0000, 0.4654, 0.3719], [0.5000, 0.5346, 0.8719], [0.0000, 0.0386, 0.6389], [0.5000, 0.9614, 0.1389]]
}



{
  "formula": "Co2Sb2S",
  "functional": "GGA-PBEsol",
  "state": "relaxed",
  "e_above_lowest_polymorph_mev_per_atom": 355,
  "cell": [[-2.1232, 2.1232, 5.0155], [2.1232, -2.1232, 5.0155], [2.1232, 2.1232, -5.0155]],
  "species": ["Co", "Co", "Sb", "Sb", "S"],
  "fractional_positions": [[0.1126, 0.1126, 0.0000], [0.8874, 0.8874, 0.0000], [0.2500, 0.7500, 0.5000], [0.7500, 0.2500, 0.5000], [0.5000, 0.5000, 0.0000]]
}



{
  "formula": "TaCo2SbS",
  "functional": "GGA-PBEsol",
  "state": "relaxed",
  "cell": [[4.4134, 0.0000, 0.0000], [0.0000, 4.4134, 0.0000], [0.0000, 0.0000, 5.3861]],
  "species": ["Ta", "Co", "Co", "Sb", "S"],
  "fractional_positions": [[0.0000, 0.0000, 0.0000], [0.0000, 0.5000, 0.0000], [0.5000, 0.0000, 0.0000], [0.0000, 0.0000, 0.5000], [0.5000, 0.5000, 0.5000]]
}



{
  "formula": "CoSbTe2S",
  "functional": "GGA-PBEsol",
  "state": "relaxed",
  "cell": [[4.9090, 0.0000, 0.0000], [0.0000, 4.9090, 0.0000], [0.0000, 0.0000, 4.7994]],
  "species": ["Co", "Sb", "Te", "Te", "S"],
  "fractional_positions": [[0.0000, 0.0000, 0.0000], [0.0000, 0.0000, 0.5000], [0.0000, 0.5000, 0.0000], [0.5000, 0.0000, 0.0000], [0.5000, 0.5000, 0.5000]]
}



{
  "formula": "CoSe2S",
  "functional": "GGA-PBEsol",
  "state": "relaxed",
  "cell": [[1.7613, 1.0169, 7.0227], [-1.7613, 1.0169, 7.0227], [0.0000, -2.0337, 7.0227]],
  "species": ["Co", "Se", "Se", "S"],
  "fractional_positions": [[0.0000, 0.0000, 0.0000], [0.3891, 0.3891, 0.3891], [0.6109, 0.6109, 0.6109], [0.5000, 0.5000, 0.5000]]
}



{
  "formula": "Co3Sn2S2",
  "functional": "GGA-PBEsol",
  "state": "relaxed",
  "cell": [[2.6417, 1.5252, 4.3224], [-2.6417, 1.5252, 4.3224], [0.0000, -3.0504, 4.3224]],
  "species": ["Co", "Co", "Co", "Sn", "Sn", "S", "S"],
  "fractional_positions": [[0.0000, 0.5000, 0.5000], [0.5000, 0.0000, 0.5000], [0.5000, 0.5000, 0.0000], [0.0000, 0.0000, 0.0000], [0.5000, 0.5000, 0.5000], [0.2181, 0.2181, 0.2181], [0.7819, 0.7819, 0.7819]]
}



{
  "formula": "TaCoS2",
  "functional": "GGA-PBEsol",
  "state": "relaxed",
  "cell": [[-2.6277, 2.6277, 4.9287], [2.6277, -2.6277, 4.9287], [2.6277, 2.6277, -4.9287]],
  "species": ["Ta", "Ta", "Co", "Co", "S", "S", "S", "S"],
  "fractional_positions": [[0.0000, 0.0000, 0.0000], [0.7500, 0.2500, 0.5000], [0.2500, 0.7500, 0.5000], [0.5000, 0.5000, 0.0000], [0.1610, 0.6250, 0.0360], [0.3750, 0.4110, 0.5360], [0.5890, 0.1250, 0.9640], [0.8750, 0.8390, 0.4640]]
}



{
  "formula": "TiCoS2",
  "functional": "GGA-PBEsol",
  "state": "relaxed",
  "cell": [[0.0000, 2.9313, 2.9313], [2.9313, 0.0000, 2.9313], [2.9313, 2.9313, 0.0000]],
  "species": ["Ti", "Co", "S", "S"],
  "fractional_positions": [[0.0000, 0.0000, 0.0000], [0.5000, 0.5000, 0.5000], [0.2500, 0.2500, 0.2500], [0.7500, 0.7500, 0.7500]]
}



{
  "formula": "Ti4CoS8",
  "functional": "GGA-PBEsol",
  "state": "relaxed",
  "cell": [[5.4743, -3.3336, 0.0000], [5.4743, 3.3336, 0.0000], [-5.4131, 0.0000, 5.7364]],
  "species": ["Ti", "Ti", "Ti", "Ti", "Co", "S", "S", "S", "S", "S", "S", "S", "S"],
  "fractional_positions": [[0.2409, 0.2409, 0.4956], [0.2415, 0.7585, 0.0000], [0.7585, 0.2415, 0.0000], [0.7591, 0.7591, 0.5044], [0.5000, 0.5000, 0.5000], [0.0522, 0.0522, 0.8338], [0.0555, 0.5461, 0.3325], [0.4539, 0.9445, 0.6675], [0.4587, 0.4587, 0.1731], [0.5413, 0.5413, 0.8269], [0.5461, 0.0555, 0.3325], [0.9445, 0.4539, 0.6675], [0.9478, 0.9478, 0.1662]]
}



{
  "formula": "Tl2CoS",
  "functional": "GGA-PBEsol",
  "state": "relaxed",
  "cell": [[0.0000, 3.4543, 3.4543], [3.4543, 0.0000, 3.4543], [3.4543, 3.4543, 0.0000]],
  "species": ["Tl", "Tl", "Co", "S"],
  "fractional_positions": [[0.2500, 0.2500, 0.2500], [0.7500, 0.7500, 0.7500], [0.0000, 0.0000, 0.0000], [0.5000, 0.5000, 0.5000]]
}



{
  "formula": "U8CoS17",
  "functional": "GGA-PBEsol",
  "state": "relaxed",
  "cell": [[6.4257, -4.0501, 0.0000], [6.4257, 4.0501, 0.0000], [-2.0517, 0.0000, 9.8766]],
  "species": ["U", "U", "U", "U", "U", "U", "U", "U", "Co", "S", "S", "S", "S", "S", "S", "S", "S", "S", "S", "S", "S", "S", "S", "S", "S", "S"],
  "fractional_positions": [[0.1798, 0.6951, 0.7978], [0.2021, 0.2021, 0.9508], [0.3049, 0.8202, 0.2022], [0.3178, 0.3178, 0.4809], [0.6822, 0.6822, 0.5191], [0.6951, 0.1798, 0.7978], [0.7979, 0.7979, 0.0492], [0.8202, 0.3049, 0.2022], [0.0000, 0.0000, 0.5000], [0.0000, 0.0000, 0.0000], [0.0531, 0.0531, 0.7210], [0.0535, 0.6825, 0.5255], [0.1835, 0.5642, 0.0373], [0.2168, 0.2168, 0.2193], [0.2963, 0.2963, 0.7393], [0.3175, 0.9465, 0.4745], [0.4358, 0.8165, 0.9627], [0.4787, 0.4787, 0.3299], [0.5213, 0.5213, 0.6701], [0.5642, 0.1835, 0.0373], [0.6825, 0.0535, 0.5255], [0.7037, 0.7037, 0.2607], [0.7832, 0.7832, 0.7807], [0.8165, 0.4358, 0.9627], [0.9465, 0.3175, 0.4745], [0.9469, 0.9469, 0.2790]]
}



no.,ΔE_f (raw) (eV/atom)
1,-0.37
2,-0.45
3,0.49
4,1.47
5,0.46
6,-0.04
7,-0.44
8,-0.41
9,-0.60
10,-1.30
11,0.65
12,-1.33